[1]
Computed, not measured: a relaxed PrThPd2 crystal at the PBE level of DFT. Values from VASP.

```
&SYSTEM
  ibrav = 0, nat = 4, ntyp = 3
/
ATOMIC_SPECIES
Pr 140.91 Pr.upf
Th 232.04 Th.upf
Pd 106.42 Pd.upf
ATOMIC_POSITIONS crystal
Pr 0.000 0.000 0.000
Th 0.172 0.172 0.172
Pd 0.583 0.583 0.583
Pd 0.757 0.757 0.757
CELL_PARAMETERS angstrom
2.068 1.194 7.250
-2.068 1.194 7.250
0.000 -2.388 7.250
```

Output
energy of formation from the pure elements = -643 meV/atom
ρ = 9.055 g/cm³

[2]
Computed, not measured: a relaxed PrTh2Pd2 crystal at the PBE level of DFT. Values from VASP.

```
&SYSTEM
  ibrav = 0, nat = 5, ntyp = 3
/
ATOMIC_SPECIES
Pr 140.91 Pr.upf
Th 232.04 Th.upf
Pd 106.42 Pd.upf
ATOMIC_POSITIONS crystal
Pr 0.000 0.000 0.000
Th 0.250 0.750 0.500
Th 0.750 0.250 0.500
Pd 0.367 0.367 0.737
Pd 0.633 0.633 0.263
CELL_PARAMETERS angstrom
3.743 -3.743 0.000
3.743 3.743 0.000
-3.721 0.000 5.018
```

Output
energy of formation from the pure elements = -404 meV/atom
ρ = 9.657 g/cm³

[3]
Computed, not measured: a relaxed Pr2ThPd crystal at the PBE level of DFT. Values from VASP.

```
&SYSTEM
  ibrav = 0, nat = 4, ntyp = 3
/
ATOMIC_SPECIES
Pr 140.91 Pr.upf
Th 232.04 Th.upf
Pd 106.42 Pd.upf
ATOMIC_POSITIONS crystal
Pr 0.000 0.000 0.211
Pr 0.000 0.000 0.789
Th 0.500 0.500 0.500
Pd 0.500 0.500 0.000
CELL_PARAMETERS angstrom
3.676 0.000 0.000
0.000 3.676 0.000
0.000 0.000 8.523
```

Output
energy of formation from the pure elements = -308 meV/atom
ρ = 8.945 g/cm³